Entry 1:
YCdBiF2: optimized geometry, PBE-GGA.

```
YCdBiF2
1.0
4.3794 0.0000 0.0000
0.0000 4.3794 0.0000
0.0000 0.0000 6.5726
Bi Cd F Y
1 1 2 1
direct
0.0000 0.0000 0.5000
0.5000 0.5000 0.5000
0.5000 0.0000 0.0000
0.0000 0.5000 0.0000
0.0000 0.0000 0.0000
```

Values from the calculation:
ρ (g cm⁻³): 5.9
V (Å³/cell): 126
Raw formation energy (kJ/mol of atoms): -211.8
Space-group type: P4/mmm
DFT total energy (eV/atom): -5.196
DOS at the Fermi energy (states/eV per cell): 0.9

***

Entry 2:
InGaPd2: optimized geometry, PBE-GGA.

```
InGaPd2
1.0
3.1812 0.0000 0.0000
-1.5906 5.7543 0.0000
0.0000 0.0000 7.3862
Ga In Pd
2 2 4
direct
0.2428 0.4856 0.2500
0.7572 0.5144 0.7500
0.9738 0.9476 0.2500
0.0262 0.0524 0.7500
0.6311 0.2622 0.0345
0.3689 0.7378 0.9655
0.6311 0.2622 0.4655
0.3689 0.7378 0.5345
```

Values from the calculation:
ρ (g cm⁻³): 9.8
V (Å³/cell): 135
Space-group type: Cmcm
DFT total energy (eV/atom): -4.565
DOS at the Fermi energy (states/eV per cell): 1.9
Energy of formation from the pure elements (meV/atom): -527

***

Entry 3:
BaSr2TeN: optimized geometry, PBE-GGA.

```
BaSr2TeN
1.0
-5.0315 -1.1168 0.7478
0.5479 -4.3503 -2.8102
1.3428 -2.8843 4.7270
Te N Ba Sr
1 1 1 2
direct
0.5000 0.5000 0.5000
0.0000 0.0000 0.0000
0.0000 0.0000 0.5000
0.5000 0.0000 0.0000
0.0000 0.5000 0.0000
```

Values from the calculation:
ρ (g cm⁻³): 4.9
V (Å³/cell): 155
Raw formation energy (kJ/mol of atoms): -84.5
Space-group type: P4/mmm
DFT total energy (eV/atom): -4.226
DOS at the Fermi energy (states/eV per cell): 1.5

***

Entry 4:
Li2Mn2Tl: optimized geometry, PBE-GGA.

```
Li2Mn2Tl
1.0
4.9710 0.0000 0.0000
0.0000 4.9710 0.0000
2.4855 2.4855 4.0209
Li Mn Tl
2 2 1
direct
0.2500 0.7500 0.5000
0.7500 0.2500 0.5000
0.6568 0.6568 0.6863
0.3432 0.3432 0.3137
0.0000 0.0000 0.0000
```

Values from the calculation:
ρ (g cm⁻³): 5.5
V (Å³/cell): 99
Space-group type: I4/mmm
DFT total energy (eV/atom): -4.254
Energy relative to the lowest polymorph listed for this composition (eV/atom): 0.1575
DOS at the Fermi energy (states/eV per cell): 4.3
Energy of formation from the pure elements (meV/atom): 652

***

Entry 5:
CsNbTl2Cl8: optimized geometry, PBE-GGA.

```
CsNbTl2Cl8
1.0
6.0848 -1.1241 0.0093
-1.2399 7.6122 0.0023
0.0168 0.0189 9.7522
Cl Cs Nb Tl
8 1 1 2
direct
0.6048 0.8217 0.9997
0.9413 0.1999 0.8259
0.5810 0.2840 0.5002
0.9384 0.1985 0.1737
0.4190 0.7160 0.4998
0.0616 0.8015 0.8263
0.0587 0.8001 0.1741
0.3952 0.1783 0.0003
0.0000 0.0000 0.5000
0.0000 0.0000 0.0000
0.4995 0.4995 0.7282
0.5005 0.5005 0.2718
```

Values from the calculation:
ρ (g cm⁻³): 3.5
V (Å³/cell): 438
Raw formation energy (kJ/mol of atoms): -124.5
Space-group type: P-1
DFT total energy (eV/atom): -3.826

***

Entry 6:
Ca2AlRu: optimized geometry, PBE-GGA.

```
Ca2AlRu
1.0
-4.6351 3.2804 -1.8443
-3.3376 -2.2714 -4.3986
2.0453 -0.8529 5.5440
Al Ru Ca
1 1 2
direct
0.3016 0.8016 0.5000
0.4643 0.4643 0.0000
0.7189 0.2189 0.5000
0.0153 0.0153 0.0000
```

Values from the calculation:
ρ (g cm⁻³): 3.7
V (Å³/cell): 93
Space-group type: Imm2
DFT total energy (eV/atom): -4.328
Energy relative to the lowest polymorph listed for this composition (eV/atom): 0.1311
DOS at the Fermi energy (states/eV per cell): 2.8
Energy of formation from the pure elements (meV/atom): -73